No. 1
HfTc2B | PBE-GGA | optimized geometry

The structure in POSCAR format:
```
HfTc2B
1.0
-3.519 3.519 2.385
3.519 -3.519 2.385
3.519 3.519 -2.385
Hf Tc B
2 4 2
direct
0.000 0.000 0.000
0.750 0.250 0.500
0.223 0.625 0.098
0.375 0.473 0.598
0.527 0.125 0.902
0.875 0.777 0.402
0.250 0.750 0.500
0.500 0.500 0.000
```

Output
E_tot = -37.91 eV/f.u.
DOS(E_F) = 5.508 states/eV/cell
calculated volume = 14.8 Å³ per atom
ΔE_f = -136.4 meV per atom

No. 2
Hf3TcB | PBE-GGA | optimized geometry

The structure in POSCAR format:
```
Hf3TcB
1.0
4.916 0.000 0.000
0.000 4.916 0.000
0.000 0.000 4.916
Hf Tc B
3 1 1
direct
0.000 0.000 0.500
0.000 0.500 0.000
0.500 0.000 0.000
0.000 0.000 0.000
0.500 0.500 0.500
```

Output
E_tot = -40.33 eV/f.u.
DOS(E_F) = 10.904 states/eV/cell
calculated volume = 23.8 Å³ per atom
ΔE_f = 1314.6 meV per atom

No. 3
HfTc2B | PBE-GGA | optimized geometry

The structure in POSCAR format:
```
HfTc2B
1.0
1.594 -8.998 0.000
1.594 8.998 0.000
0.000 0.000 4.010
Hf Tc B
2 4 2
direct
0.115 0.885 0.750
0.885 0.115 0.250
0.252 0.748 0.250
0.463 0.537 0.750
0.537 0.463 0.250
0.748 0.252 0.750
0.337 0.663 0.750
0.663 0.337 0.250
```

Output
E_tot = -38.20 eV/f.u.
DOS(E_F) = 6.089 states/eV/cell
calculated volume = 14.4 Å³ per atom
ΔE_f = -209.5 meV per atom

No. 4
HfTcB3 | PBE-GGA | optimized geometry

The structure in POSCAR format:
```
HfTcB3
1.0
4.242 0.000 0.000
0.000 4.242 0.000
0.000 0.000 4.242
Hf Tc B
1 1 3
direct
0.000 0.000 0.000
0.500 0.500 0.500
0.000 0.000 0.500
0.000 0.500 0.000
0.500 0.000 0.000
```

Output
E_tot = -30.54 eV/f.u.
DOS(E_F) = 2.162 states/eV/cell
calculated volume = 15.3 Å³ per atom
ΔE_f = 1961.8 meV per atom

No. 5
HfTcB3 | PBE-GGA | optimized geometry

The structure in POSCAR format:
```
HfTcB3
1.0
3.989 0.000 0.000
0.000 3.989 0.000
0.000 0.000 3.989
Hf Tc B
1 1 3
direct
0.000 0.000 0.000
0.500 0.500 0.500
0.000 0.500 0.500
0.500 0.000 0.500
0.500 0.500 0.000
```

Output
E_tot = -37.77 eV/f.u.
DOS(E_F) = 2.529 states/eV/cell
calculated volume = 12.7 Å³ per atom
ΔE_f = 515.6 meV per atom

No. 6
Hf3TcB | PBE-GGA | optimized geometry

The structure in POSCAR format:
```
Hf3TcB
1.0
4.507 0.000 0.000
0.000 4.507 0.000
0.000 0.000 4.507
Hf Tc B
3 1 1
direct
0.000 0.000 0.500
0.000 0.500 0.000
0.500 0.000 0.000
0.500 0.500 0.500
0.000 0.000 0.000
```

Output
E_tot = -46.82 eV/f.u.
DOS(E_F) = 4.858 states/eV/cell
calculated volume = 18.3 Å³ per atom
ΔE_f = 16.0 meV per atom

No. 7
Hf2TcB | PBE-GGA | optimized geometry

The structure in POSCAR format:
```
Hf2TcB
1.0
1.611 0.930 7.799
-1.611 0.930 7.799
0.000 -1.861 7.799
Hf Tc B
2 1 1
direct
0.107 0.107 0.107
0.893 0.893 0.893
0.000 0.000 0.000
0.500 0.500 0.500
```

Output
E_tot = -35.96 eV/f.u.
DOS(E_F) = 1.916 states/eV/cell
calculated volume = 17.5 Å³ per atom
ΔE_f = 247.8 meV per atom

No. 8
Hf2TcB2 | PBE-GGA | optimized geometry

The structure in POSCAR format:
```
Hf2TcB2
1.0
6.212 0.000 0.000
0.000 6.212 0.000
0.000 0.000 3.386
Hf Tc B
4 2 4
direct
0.183 0.317 0.000
0.317 0.817 0.000
0.683 0.183 0.000
0.817 0.683 0.000
0.000 0.000 0.500
0.500 0.500 0.500
0.104 0.604 0.500
0.396 0.104 0.500
0.604 0.896 0.500
0.896 0.396 0.500
```

Output
E_tot = -47.63 eV/f.u.
DOS(E_F) = 2.974 states/eV/cell
calculated volume = 13.1 Å³ per atom
ΔE_f = -801.0 meV per atom

No. 9
HfTcBW2 | PBE-GGA | optimized geometry

The structure in POSCAR format:
```
HfTcBW2
1.0
4.805 0.000 0.000
0.000 4.805 0.000
0.000 0.000 3.969
Hf Tc B W
1 1 1 2
direct
0.000 0.000 0.000
0.500 0.500 0.500
0.500 0.500 0.000
0.000 0.500 0.500
0.500 0.000 0.500
```

Output
E_tot = -46.30 eV/f.u.
DOS(E_F) = 7.010 states/eV/cell
calculated volume = 18.3 Å³ per atom
ΔE_f = 1321.1 meV per atom

No. 10
Hf4BTe5 | PBE-GGA | optimized geometry

The structure in POSCAR format:
```
Hf4BTe5
1.0
8.725 -1.861 0.000
8.725 1.861 0.000
-1.673 0.000 7.780
Hf B Te
4 1 5
direct
0.001 0.001 0.295
0.361 0.361 0.431
0.639 0.639 0.569
0.999 0.999 0.705
0.500 0.500 0.500
0.166 0.166 0.845
0.172 0.172 0.317
0.500 0.500 0.000
0.828 0.828 0.683
0.834 0.834 0.155
```

Output
E_tot = -69.77 eV/f.u.
DOS(E_F) = 3.780 states/eV/cell
calculated volume = 25.3 Å³ per atom
formation energy (no corrections) = -7.57 eV per formula unit

No. 11
HfBTe2 | PBE-GGA | optimized geometry

The structure in POSCAR format:
```
HfBTe2
1.0
1.897 1.095 8.028
-1.897 1.095 8.028
0.000 -2.191 8.028
Hf B Te
1 1 2
direct
0.000 0.000 0.000
0.500 0.500 0.500
0.412 0.412 0.412
0.588 0.588 0.588
```

Output
E_tot = -20.95 eV/f.u.
DOS(E_F) = 3.563 states/eV/cell
calculated volume = 25.0 Å³ per atom
formation energy (no corrections) = 1.96 eV per formula unit

No. 12
Hf5B2Te | PBE-GGA | optimized geometry

The structure in POSCAR format:
```
Hf5B2Te
1.0
-3.356 3.356 6.218
3.356 -3.356 6.218
3.356 3.356 -6.218
Hf B Te
10 4 2
direct
0.000 0.000 0.000
0.029 0.529 0.817
0.212 0.029 0.500
0.288 0.788 0.817
0.471 0.288 0.500
0.500 0.500 0.000
0.529 0.712 0.500
0.712 0.212 0.183
0.788 0.971 0.500
0.971 0.471 0.183
0.149 0.351 0.500
0.351 0.851 0.202
0.649 0.149 0.798
0.851 0.649 0.500
0.250 0.250 0.000
0.750 0.750 0.000
```

Output
E_tot = -69.89 eV/f.u.
DOS(E_F) = 13.850 states/eV/cell
calculated volume = 17.5 Å³ per atom
formation energy (no corrections) = -3.63 eV per formula unit